# 1
Here is a relaxed structure of PaI6 from Alexandria. Energies are from PBE.

Unit cell a=8.122 b=12.818 c=16.220 alpha=90.00 beta=90.00 gamma=90.00
Fractional positions:
Pa1 0.818 0.250 0.612
Pa2 0.182 0.750 0.388
Pa3 0.318 0.750 0.888
Pa4 0.682 0.250 0.112
I1 0.541 0.250 0.498
I2 0.459 0.750 0.502
I3 0.041 0.750 0.002
I4 0.959 0.250 0.998
I5 0.104 0.250 0.719
I6 0.896 0.750 0.281
I7 0.604 0.750 0.781
I8 0.396 0.250 0.219
I9 0.017 0.378 0.485
I10 0.983 0.622 0.515
I11 0.517 0.622 0.015
I12 0.983 0.878 0.515
I13 0.483 0.378 0.985
I14 0.017 0.122 0.485
I15 0.483 0.122 0.985
I16 0.517 0.878 0.015
I17 0.685 0.430 0.696
I18 0.315 0.570 0.304
I19 0.185 0.570 0.804
I20 0.315 0.930 0.304
I21 0.815 0.430 0.196
I22 0.685 0.070 0.696
I23 0.815 0.070 0.196
I24 0.185 0.930 0.804

Computed properties:
As for the total energy: -96.66 eV per cell. Its formation energy without anion corrections is -0.7669 eV per atom.

***

# 2
Here is a relaxed structure of LaTi3Re from Alexandria. Energies are from PBE.

Unit cell a=4.870 b=4.870 c=4.870 alpha=90.00 beta=90.00 gamma=90.00
Each line ends with the local moment (μB).
Fractional positions:
Re1 0.000 0.000 0.000  -0.04
Ti1 0.000 0.500 0.000  0.11
Ti2 0.000 0.000 0.500  0.08
Ti3 0.500 0.000 0.000  0.23
La1 0.500 0.500 0.500  0.08

Computed properties:
Its formation energy is 0.293 eV per atom. The calculation puts the energy above the lowest structure with this stoichiometry at 0 meV per atom. As for the total energy: -39.59 eV per cell. The density of states at the Fermi level is 8.4 states/eV per cell.

***

# 3
Here is a relaxed structure of TbUAsO2 from Alexandria. Energies are from PBE.

Unit cell a=3.780 b=3.780 c=6.655 alpha=106.50 beta=106.50 gamma=90.00
Each line ends with the local moment (μB).
Fractional positions:
Tb1 0.145 0.145 0.291  0.04
U1 0.853 0.853 0.707  1.98
As1 0.497 0.497 0.994  -0.08
O1 0.752 0.252 0.505  -0.04
O2 0.252 0.752 0.505  -0.04

Computed properties:
As for the total energy: -42.98 eV per cell. The density of states at the Fermi level is 6.4 states/eV per cell. Its formation energy without anion corrections is -2.4994 eV per atom.

***

# 4
Here is a relaxed structure of CsAgTeIrSe from Alexandria. Energies are from PBE.

Unit cell a=3.935 b=4.948 c=7.932 alpha=90.00 beta=91.67 gamma=90.00
Fractional positions:
Cs1 0.876 0.500 0.963
Ag1 0.610 0.500 0.442
Te1 0.337 0.000 0.326
Ir1 0.859 0.000 0.547
Se1 0.363 0.000 0.741

Computed properties:
The calculation puts the energy above the lowest structure with this stoichiometry at 0 meV per atom. As for the total energy: -20.74 eV per cell. The density of states at the Fermi level is 3.0 states/eV per cell. Its formation energy without anion corrections is -0.3089 eV per atom.